A plane-wave DFT calculation with PBE was carried out for crystalline EuTmCuGe at its relaxed geometry.

Results
The calculation puts the energy relative to the elements at -0.44 eV per atom. The calculation puts the spin magnetization at 7.2 μB per cell. As for the space group: F-43m, No. 216.

```
data_EuTmCuGe
_space_group_name_H-M_alt 'P 1'
_space_group_IT_number 1
_cell_length_a 5.040
_cell_length_b 5.040
_cell_length_c 5.040
_cell_angle_alpha 60.00
_cell_angle_beta 60.00
_cell_angle_gamma 60.00
loop_
_space_group_symop_operation_xyz
'x,y,z'
loop_
_atom_site_label
_atom_site_fract_x
_atom_site_fract_y
_atom_site_fract_z
_atom_site_occupancy
Eu1 0.000 0.000 0.000 1
Tm1 0.500 0.500 0.500 1
Cu1 0.250 0.250 0.250 1
Ge1 0.750 0.750 0.750 1
```